[1]
Be2ZnW | Alexandria via LeMat-Bulk | GGA-PBE | optimized geometry; total magnetization = 0.00 μB/f.u.; DFT formation energy = 0.20 eV/atom; crystal system = monoclinic; symmetry = P2/m (10); DOS(E_F) = 1.856 states/eV/f.u.
1.0
3.7442 0.0000 0.0000
0.0000 2.6839 -0.2376
0.0000 0.4488 4.8900
Be Zn W
2 1 1
Direct
0.0000 0.7525 0.0336
0.0000 0.7475 0.4664
0.5000 0.7500 0.7500
0.5000 0.2500 0.2500


[2]
AgTe3Pd2 | Alexandria via LeMat-Bulk | GGA-PBE | optimized geometry; raw formation energy = -243.9 meV/atom; total magnetization = 0.00 μB/f.u.; crystal system = trigonal; symmetry = P-3m1 (164); DOS(E_F) = 1.815 states/eV/f.u.
1.0
5.2053 0.0000 0.0000
0.0000 8.0917 0.0000
0.0000 -4.0458 7.0076
Ag Te Pd
2 6 4
Direct
0.3319 0.6667 0.3333
0.6681 0.3333 0.6667
0.7493 0.3500 0.1750
0.7493 0.8250 0.6500
0.7493 0.8250 0.1750
0.2507 0.1750 0.8250
0.2507 0.6500 0.8250
0.2507 0.1750 0.3500
0.0000 0.0000 0.0000
0.0000 0.5000 0.5000
0.0000 0.5000 0.0000
0.0000 0.0000 0.5000


[3]
InTc5 | Alexandria via LeMat-Bulk | GGA-PBE | optimized geometry; ΔE to the lowest computed polymorph = 0.002 eV/atom; total magnetization = 0.00 μB/f.u.; DFT formation energy = 0.14 eV/atom; crystal system = tetragonal; symmetry = P4/mmm (123); DOS(E_F) = 6.217 states/eV/f.u.
1.0
-2.6767 -0.8230 -0.3763
0.4628 -2.2548 1.6388
-3.2222 6.1776 9.4098
In Tc
1 5
Direct
0.5000 0.5000 0.0000
0.0000 0.0000 0.8132
0.0000 0.0000 0.1868
0.5000 0.5000 0.6655
0.5000 0.5000 0.3345
0.0000 0.0000 0.5000


[4]
In2Sn3Hg5 | Alexandria via LeMat-Bulk | GGA-PBE | optimized geometry; total magnetization = 0.00 μB/f.u.; DFT formation energy = 0.03 eV/atom; crystal system = triclinic; symmetry = P-1 (2); DOS(E_F) = 4.046 states/eV/f.u.
1.0
5.6876 0.2625 3.0704
4.6360 3.3839 3.4590
7.2932 -5.3582 17.7585
In Sn Hg
2 3 5
Direct
0.6963 0.9007 0.3011
0.3037 0.0993 0.6989
0.5000 0.5000 0.5000
0.9006 0.3043 0.0971
0.0994 0.6957 0.9029
0.0000 0.0000 0.0000
0.4081 0.7928 0.6003
0.5919 0.2072 0.3997
0.8052 0.5955 0.2000
0.1948 0.4045 0.8000


[5]
Y5Th3Mg12 | Alexandria via LeMat-Bulk | GGA-PBE | optimized geometry; total magnetization = 0.00 μB/f.u.; DFT formation energy = 0.83 eV/atom; crystal system = cubic; symmetry = Ia-3d (230); DOS(E_F) = 26.955 states/eV/f.u.
1.0
15.7044 0.0000 0.0000
-5.2348 14.8063 0.0000
-5.2348 -7.4031 12.8226
Th Y Mg
12 20 48
Direct
0.7500 0.3750 0.1250
0.8750 0.7500 0.1250
0.3750 0.7500 0.6250
0.2500 0.1250 0.3750
0.8750 0.1250 0.2500
0.3750 0.6250 0.2500
0.6250 0.3750 0.7500
0.1250 0.8750 0.7500
0.7500 0.8750 0.6250
0.6250 0.2500 0.3750
0.1250 0.2500 0.8750
0.2500 0.6250 0.8750
0.1250 0.3750 0.2500
0.0000 0.5000 0.0000
0.0000 0.0000 0.0000
0.3750 0.2500 0.1250
0.5000 0.0000 0.5000
0.5000 0.5000 0.0000
0.1250 0.7500 0.3750
0.7500 0.1250 0.8750
0.7500 0.6250 0.3750
0.3750 0.1250 0.7500
0.6250 0.8750 0.2500
0.5000 0.5000 0.5000
0.5000 0.0000 0.0000
0.0000 0.0000 0.5000
0.2500 0.3750 0.6250
0.2500 0.8750 0.1250
0.0000 0.5000 0.5000
0.8750 0.2500 0.6250
0.6250 0.7500 0.8750
0.8750 0.6250 0.7500
0.7275 0.1509 0.0772
0.3496 0.5772 0.4263
0.9228 0.3491 0.2725
0.5772 0.2275 0.1509
0.5767 0.7275 0.6504
0.9228 0.5737 0.1504
0.3496 0.7725 0.4233
0.0737 0.9233 0.1509
0.5737 0.9228 0.6504
0.7275 0.5767 0.1504
0.7725 0.4228 0.3491
0.8496 0.9263 0.0772
0.1509 0.7275 0.5772
0.3491 0.4263 0.0767
0.0767 0.9263 0.3491
0.4233 0.1509 0.5737
0.0767 0.1504 0.2275
0.4228 0.6504 0.0737
0.8496 0.9233 0.2725
0.1509 0.4233 0.0737
0.3491 0.9228 0.7725
0.5737 0.6509 0.4233
0.9263 0.8496 0.5772
0.7725 0.3496 0.9233
0.4263 0.3491 0.5767
0.0737 0.1504 0.4228
0.2275 0.6504 0.0767
0.1504 0.0767 0.7275
0.6509 0.0772 0.2275
0.8491 0.5767 0.9263
0.5772 0.3496 0.9263
0.5767 0.8491 0.4263
0.9233 0.8496 0.7725
0.9233 0.0737 0.6509
0.8491 0.2725 0.4228
0.1504 0.0737 0.9228
0.6509 0.5737 0.9233
0.4263 0.0772 0.3496
0.2725 0.4233 0.8496
0.2275 0.5772 0.6509
0.9263 0.0767 0.8491
0.6504 0.2275 0.5767
0.4228 0.7725 0.8491
0.0772 0.4263 0.8496
0.4233 0.2725 0.3496
0.0772 0.6509 0.7275
0.6504 0.4228 0.5737
0.2725 0.8491 0.9228


[6]
CrAgBr2 | Alexandria via LeMat-Bulk | GGA-PBE | optimized geometry; ΔE to the lowest computed polymorph = 0.084 eV/atom; raw formation energy = -7.0 meV/atom; total magnetization = 5.00 μB/f.u.; crystal system = trigonal; symmetry = R-3m (166); DOS(E_F) = 1.112 states/eV/f.u.
1.0
5.8149 3.7407 4.7178
5.2920 -0.1100 6.4843
7.7872 0.3420 3.0505
Cr Br Ag
1 2 1
Direct
0.0000 0.0000 0.0000
0.8973 0.8973 0.8973
0.1027 0.1027 0.1027
0.5000 0.5000 0.5000


[7]
OsRu2Br | Alexandria via LeMat-Bulk | GGA-PBE | optimized geometry; ΔE to the lowest computed polymorph = 0.020 eV/atom; raw formation energy = 645.5 meV/atom; total magnetization = 0.00 μB/f.u.; crystal system = tetragonal; symmetry = P4/mmm (123); DOS(E_F) = 4.044 states/eV/f.u.
1.0
-0.9017 -2.4466 -1.1870
0.5444 -1.3877 2.4466
-7.0121 1.4330 2.3731
Ru Os Br
2 1 1
Direct
0.0000 0.0000 0.9828
0.0000 0.0000 0.5172
0.5000 0.5000 0.7500
0.5000 0.5000 0.2500


[8]
LiAl4Mo | Alexandria via LeMat-Bulk | GGA-PBE | optimized geometry; ΔE to the lowest computed polymorph = 0.098 eV/atom; total magnetization = 1.05 μB/f.u.; DFT formation energy = 0.00 eV/atom; crystal system = cubic; symmetry = F-43m (216); DOS(E_F) = 3.945 states/eV/f.u.
1.0
0.0000 3.6270 3.6270
3.6270 0.0000 3.6270
3.6270 3.6270 0.0000
Li Al Mo
1 4 1
Direct
0.7500 0.7500 0.7500
0.8756 0.3748 0.3748
0.3748 0.3748 0.8756
0.3748 0.8756 0.3748
0.3748 0.3748 0.3748
0.0000 0.0000 0.0000


[9]
Ac2ZnSb3Pt4 | Alexandria via LeMat-Bulk | GGA-PBE | optimized geometry; raw formation energy = -899.8 meV/atom; total magnetization = 0.00 μB/f.u.; crystal system = tetragonal; symmetry = P-4m2 (115); DOS(E_F) = 5.877 states/eV/f.u.
1.0
4.6694 0.0000 0.0000
0.0000 4.6694 0.0000
0.0000 0.0000 10.6009
Ac Zn Sb Pt
2 1 3 4
Direct
0.5000 0.0000 0.2450
0.0000 0.5000 0.7550
0.5000 0.5000 0.5000
0.0000 0.0000 0.5000
0.5000 0.0000 0.8687
0.0000 0.5000 0.1313
0.5000 0.5000 0.0000
0.0000 0.0000 0.0000
0.5000 0.0000 0.6188
0.0000 0.5000 0.3812


[10]
ScTa2Cd | Alexandria via LeMat-Bulk | GGA-PBE | optimized geometry; total magnetization = 0.00 μB/f.u.; DFT formation energy = 0.24 eV/atom; crystal system = tetragonal; symmetry = I-4m2 (119); DOS(E_F) = 4.511 states/eV/f.u.
1.0
-4.7820 -1.6721 -1.2994
-0.4466 -5.0601 1.2440
1.5990 4.1320 2.7787
Cd Sc Ta
1 1 2
Direct
0.5000 0.5000 0.0000
0.7500 0.2500 0.5000
0.0000 0.0000 0.0000
0.2500 0.7500 0.5000


[11]
CeDy4Er2Tm | Alexandria via LeMat-Bulk | GGA-PBE | optimized geometry; total magnetization = 0.89 μB/f.u.; DFT formation energy = 0.04 eV/atom; crystal system = monoclinic; symmetry = P2/m (10); DOS(E_F) = 12.165 states/eV/f.u.
1.0
4.9860 0.0000 0.0000
0.0000 4.8680 1.0033
0.0000 2.8550 10.7767
Ce Dy Er Tm
1 4 2 1
Direct
0.0000 0.5000 0.5000
0.0000 0.7507 0.7497
0.0000 0.2493 0.2503
0.5000 0.7481 0.2504
0.5000 0.2519 0.7496
0.0000 0.0000 0.0000
0.5000 0.0000 0.5000
0.5000 0.5000 0.0000


[12]
La2MgCoCu | Alexandria via LeMat-Bulk | GGA-PBE | optimized geometry; ΔE to the lowest computed polymorph = 0.000 eV/atom; total magnetization = 0.00 μB/f.u.; DFT formation energy = 0.01 eV/atom; crystal system = tetragonal; symmetry = P4/mmm (123); DOS(E_F) = 3.294 states/eV/f.u.
1.0
-0.4985 -2.7288 -4.3902
-2.3785 -3.7948 2.6288
-4.3582 2.1490 -0.8409
Mg Co Cu La
1 1 1 2
Direct
0.0000 0.0000 0.5000
0.0000 0.0000 0.0000
0.5000 0.5000 0.5000
0.0000 0.5000 0.0000
0.5000 0.0000 0.0000


Q: The highest DOS(E_F) belongs to which entry?
A: Y5Th3Mg12


Q: Among the records above, which one has the lowest DOS(E_F)?
A: CrAgBr2


Q: Which value of DOS(E_F) does entry 7 give?
A: 4.044 states/eV/f.u.